# 1
The following is a DFT calculation (PBE) of a geometry-optimized CuIO2F structure.

Values from the calculation:
* mass density: 5.43 g/cm3
* raw formation energy: 5.45 eV/f.u.
* final energy: -11.98 eV per formula unit

Cell and atoms, written as extended XYZ:
```
5
Lattice="4.164 0.000 0.000 0.000 4.164 0.000 0.000 0.000 4.261" Properties=species:S:1:pos:R:3 pbc="T T T"
Cu 0.000 0.000 0.000
I 2.082 2.082 0.000
O 0.000 2.082 2.130
O 2.082 0.000 2.130
F 2.082 2.082 2.130
```

***

# 2
The following is a DFT calculation (PBE) of a geometry-optimized Hf2Zr5Sn structure.

Values from the calculation:
* mass density: 8.42 g/cm3
* final energy: -67.15 eV per formula unit
* ΔH_f (0 K): -6.0 kJ/mol of atoms

Cell and atoms, written as extended XYZ:
```
16
Lattice="-3.811 3.811 6.324 3.811 -3.811 6.324 3.811 3.811 -6.324" Properties=species:S:1:pos:R:3 pbc="T T T"
Hf 4.898 1.087 0.000
Hf 1.087 2.724 0.000
Hf 2.724 1.087 6.324
Hf -1.087 2.724 6.324
Zr 0.000 0.000 0.000
Zr 4.978 -1.168 2.056
Zr 2.643 -1.168 4.268
Zr 2.643 1.168 2.056
Zr 4.978 1.168 4.268
Zr 0.000 0.000 6.324
Zr -1.168 2.643 2.056
Zr 1.168 2.643 4.268
Zr 1.168 4.978 2.056
Zr -1.168 4.978 4.268
Sn 0.000 0.000 3.162
Sn 0.000 0.000 9.486
```

***

# 3
The following is a DFT calculation (PBE) of a geometry-optimized NdUCo4 structure.

Values from the calculation:
* mass density: 11.51 g/cm3
* final energy: -44.72 eV per formula unit
* ΔH_f (0 K): -3.9 kJ/mol of atoms

Cell and atoms, written as extended XYZ:
```
6
Lattice="0.000 3.546 3.546 3.546 0.000 3.546 3.546 3.546 0.000" Properties=species:S:1:pos:R:3 pbc="T T T"
Nd 0.000 0.000 0.000
U 5.319 5.319 5.319
Co 2.667 2.667 2.667
Co 4.425 4.425 2.667
Co 4.425 2.667 4.425
Co 2.667 4.425 4.425
```

***

# 4
The following is a DFT calculation (PBE) of a geometry-optimized PrSmNi2As2 structure.

Values from the calculation:
* mass density: 7.82 g/cm3
* final energy: -36.59 eV per formula unit
* ΔH_f (0 K): -100.2 kJ/mol of atoms

Cell and atoms, written as extended XYZ:
```
6
Lattice="4.112 0.000 0.000 -2.056 3.561 0.000 0.000 0.000 8.097" Properties=species:S:1:pos:R:3 pbc="T T T"
Pr 0.000 0.000 0.000
Sm 0.000 0.000 4.049
Ni 0.000 2.374 6.047
Ni 2.056 1.187 2.051
As 0.000 2.374 2.075
As 2.056 1.187 6.023
```